Entry from Alexandria: a relaxed NaTl6Hg3 crystal (GGA-PBE).

ρ ... 9.927 g cm⁻³
Total magnetic moment ... 0.00 μB/atom
Calculated formation energy ... -0.009 eV/atom

Cell: 10.1795 4.9673 12.9402 Å, 90.00 108.83 90.00°
Last column: nearest neighbours and their distance in Å.
Sites, in units of the cell vectors:
Na  0.0503  0.2500  0.2667  2 Hg 3.21-3.38, 3 Tl 3.35-3.47
Na  0.9497  0.7500  0.7333  2 Hg 3.21-3.38, 3 Tl 3.35-3.47
Tl  0.0711  0.2500  0.9442  2 Hg 3.13, 4 Tl 3.29-3.51
Tl  0.2392  0.7500  0.4175  3 Hg 3.17-3.42, 4 Tl 3.32-3.46, 2 Na 3.35
Tl  0.2686  0.7500  0.1696  3 Hg 3.16-3.17, 4 Tl 3.29-3.49
Tl  0.2703  0.7500  0.6916  3 Hg 3.05-3.24, 2 Tl 3.41
Tl  0.4064  0.2500  0.5767  4 Hg 3.20-3.42, 4 Tl 3.32-3.41
Tl  0.4327  0.2500  0.0662  4 Hg 3.21-3.41, 6 Tl 3.49-3.58
Tl  0.5673  0.7500  0.9338  4 Hg 3.21-3.41, 6 Tl 3.49-3.58
Tl  0.5936  0.7500  0.4233  4 Hg 3.20-3.42, 4 Tl 3.32-3.41
Tl  0.7297  0.2500  0.3084  3 Hg 3.05-3.24, 2 Tl 3.41
Tl  0.7314  0.2500  0.8304  3 Hg 3.16-3.17, 4 Tl 3.29-3.49
Tl  0.7608  0.2500  0.5825  3 Hg 3.17-3.42, 4 Tl 3.32-3.46, 2 Na 3.35
Tl  0.9289  0.7500  0.0558  2 Hg 3.13, 4 Tl 3.29-3.51
Hg  0.0715  0.2500  0.5798  4 Tl 3.17-3.42, 2 Hg 3.26
Hg  0.2466  0.7500  0.9207  7 Tl 3.05-3.32, 1 Na 3.21
Hg  0.3980  0.2500  0.3197  9 Tl 3.17-3.43, 1 Na 3.38
Hg  0.6020  0.7500  0.6803  9 Tl 3.17-3.43, 1 Na 3.38
Hg  0.7534  0.2500  0.0793  7 Tl 3.05-3.32, 1 Na 3.21
Hg  0.9285  0.7500  0.4202  4 Tl 3.17-3.42, 2 Hg 3.26